Record 1
Computed, not measured: a PBEsol-optimized structure of NbRu at the SCAN level of DFT.

Cell and atoms, written as CIF:
```
data_NbRu
_chemical_formula_sum 'Nb1 Ru1'
_cell_length_a 3.146
_cell_length_b 3.146
_cell_length_c 3.146
_cell_angle_alpha 90.00
_cell_angle_beta 90.00
_cell_angle_gamma 90.00
_space_group_name_H-M_alt 'P m -3 m'
_space_group_IT_number 221
_space_group_name_Hall '-P 4 2 3'
loop_
_atom_site_label
_atom_site_type_symbol
_atom_site_fract_x
_atom_site_fract_y
_atom_site_fract_z
Nb1 Nb 0.000 0.000 0.000
Ru1 Ru 0.500 0.500 0.500
```

Output
Calculated density in Mg/m³: 10.34
ΔH_f (0 K) in eV per atom: -0.206
V in Å³ per cell: 31.1
Crystal system: cubic

---

Record 2
Computed, not measured: a PBEsol-optimized structure of MnIrCl3 at the SCAN level of DFT.

Cell and atoms, written as CIF:
```
data_MnIrCl3
_chemical_formula_sum 'Mn1 Ir1 Cl3'
_cell_length_a 4.743
_cell_length_b 4.743
_cell_length_c 4.743
_cell_angle_alpha 90.00
_cell_angle_beta 90.00
_cell_angle_gamma 90.00
_space_group_name_H-M_alt 'P m -3 m'
_space_group_IT_number 221
_space_group_name_Hall '-P 4 2 3'
loop_
_atom_site_label
_atom_site_type_symbol
_atom_site_fract_x
_atom_site_fract_y
_atom_site_fract_z
Mn1 Mn 0.000 0.000 0.000
Ir1 Ir 0.500 0.500 0.500
Cl1 Cl 0.000 0.500 0.500
```

Output
Calculated density in Mg/m³: 5.50
V in Å³ per cell: 106.7
Uncorrected formation energy in eV per atom: 0.008
Crystal system: cubic

---

Record 3
Computed, not measured: a PBEsol-optimized structure of ZrFeOs2 at the SCAN level of DFT.

Cell and atoms, written as CIF:
```
data_ZrFeOs2
_chemical_formula_sum 'Zr4 Fe4 Os8'
_cell_length_a 6.206
_cell_length_b 6.206
_cell_length_c 6.206
_cell_angle_alpha 90.00
_cell_angle_beta 90.00
_cell_angle_gamma 90.00
_space_group_name_H-M_alt 'F -4 3 m'
_space_group_IT_number 216
_space_group_name_Hall 'F -4 2 3'
loop_
_atom_site_label
_atom_site_type_symbol
_atom_site_fract_x
_atom_site_fract_y
_atom_site_fract_z
Zr1 Zr 0.000 0.000 0.000
Fe1 Fe 0.250 0.250 0.750
Os1 Os 0.000 0.000 0.500
Os2 Os 0.250 0.250 0.250
```

Output
Calculated density in Mg/m³: 14.66
ΔH_f (0 K) in eV per atom: 0.025
Energy relative to the lowest polymorph listed for this composition in meV per atom: 51.5
V in Å³ per cell: 239.0
Crystal system: cubic

---

Record 4
Computed, not measured: a PBEsol-optimized structure of Sc5NCl8 at the SCAN level of DFT.

Cell and atoms, written as CIF:
```
data_Sc5NCl8
_chemical_formula_sum 'Sc10 N2 Cl16'
_cell_length_a 17.738
_cell_length_b 3.446
_cell_length_c 11.937
_cell_angle_alpha 90.00
_cell_angle_beta 130.18
_cell_angle_gamma 90.00
_space_group_name_H-M_alt 'C 1 2/m 1'
_space_group_IT_number 12
loop_
_space_group_symop_operation_xyz
'x,y,z'
'-x,-y,-z'
'-x,y,-z'
'x,-y,z'
'x+1/2,y+1/2,z'
'-x+1/2,-y+1/2,-z'
'-x+1/2,y+1/2,-z'
'x+1/2,-y+1/2,z'
loop_
_atom_site_label
_atom_site_type_symbol
_atom_site_fract_x
_atom_site_fract_y
_atom_site_fract_z
Sc1 Sc 0.000 0.000 0.000
Sc2 Sc 0.011 0.500 0.388
Sc3 Sc 0.159 0.000 0.670
N1 N 0.000 0.000 0.500
Cl1 Cl 0.027 0.000 0.236
Cl2 Cl 0.134 0.500 0.108
Cl3 Cl 0.172 0.500 0.835
Cl4 Cl 0.198 0.500 0.561
```

Output
Calculated density in Mg/m³: 3.11
V in Å³ per cell: 557.5
Uncorrected formation energy in eV per atom: -2.184
Crystal system: monoclinic

---

Record 5
Computed, not measured: a PBEsol-optimized structure of La3TiBr at the SCAN level of DFT.

Cell and atoms, written as CIF:
```
data_La3TiBr
_chemical_formula_sum 'La3 Ti1 Br1'
_cell_length_a 5.458
_cell_length_b 5.458
_cell_length_c 5.458
_cell_angle_alpha 90.00
_cell_angle_beta 90.00
_cell_angle_gamma 90.00
_space_group_name_H-M_alt 'P m -3 m'
_space_group_IT_number 221
_space_group_name_Hall '-P 4 2 3'
loop_
_atom_site_label
_atom_site_type_symbol
_atom_site_fract_x
_atom_site_fract_y
_atom_site_fract_z
La1 La 0.000 0.000 0.500
Ti1 Ti 0.000 0.000 0.000
Br1 Br 0.500 0.500 0.500
```

Output
Calculated density in Mg/m³: 5.56
V in Å³ per cell: 162.6
Uncorrected formation energy in eV per atom: 0.061
Crystal system: cubic

---

Record 6
Computed, not measured: a PBEsol-optimized structure of TlRe2Mo at the SCAN level of DFT.

Cell and atoms, written as CIF:
```
data_TlRe2Mo
_chemical_formula_sum 'Tl2 Re4 Mo2'
_cell_length_a 3.198
_cell_length_b 4.427
_cell_length_c 9.115
_cell_angle_alpha 90.00
_cell_angle_beta 90.00
_cell_angle_gamma 90.00
_space_group_name_H-M_alt 'I m m 2'
_space_group_IT_number 44
loop_
_space_group_symop_operation_xyz
'x,y,z'
'-x,-y,z'
'-x,y,z'
'x,-y,z'
'x+1/2,y+1/2,z+1/2'
'-x+1/2,-y+1/2,z+1/2'
'-x+1/2,y+1/2,z+1/2'
'x+1/2,-y+1/2,z+1/2'
loop_
_atom_site_label
_atom_site_type_symbol
_atom_site_fract_x
_atom_site_fract_y
_atom_site_fract_z
Tl1 Tl 0.000 0.000 0.000
Re1 Re 0.000 0.000 0.505
Re2 Re 0.000 0.500 0.244
Mo1 Mo 0.000 0.500 0.760
```

Output
Calculated density in Mg/m³: 17.31
ΔH_f (0 K) in eV per atom: 0.766
Energy relative to the lowest polymorph listed for this composition in meV per atom: 208.4
V in Å³ per cell: 129.1
Crystal system: orthorhombic